Below is a geometry-optimized BC structure, with properties calculated at the PBE level.

Calculated values
As for the calculated formation energy: 0.36 eV per atom. The space group is Cm.

abc: 6.120 6.120 5.334
angles: 99.46 99.46 25.61
Sites, in units of the cell vectors:
1 B 0.042 0.042 0.146
2 B 0.896 0.896 0.207
3 B 0.894 0.894 0.619
4 B 0.697 0.697 0.296
5 B 0.558 0.558 0.587
6 B 0.247 0.247 0.862
7 C 0.330 0.330 0.138
8 C 0.257 0.257 0.382
9 C 0.004 0.004 0.464
10 C 0.332 0.332 0.652
11 C 0.653 0.653 0.831
12 C 0.591 0.591 0.066